VASP calculation (PBE-GGA) on BaMgFe2 after structural relaxation.

Cell: 3.285 3.285 8.138 Å, 90.00 90.00 90.00°
Space group P4mm (No. 99)
Unique sites:
Ba: 0.000 0.000 0.000 [1 per cell]
Mg: 0.500 0.500 0.629 [1 per cell]
Fe: 0.000 0.000 0.414 [1 per cell]
Fe: 0.500 0.500 0.305 [1 per cell]

VASP calculation (PBE-GGA) on BaMgFe2 after structural relaxation.

Cell: 3.541 4.461 12.461 Å, 90.00 90.00 90.00°
Space group Imm2 (No. 44)
Unique sites:
Ba: 0.000 0.000 0.000 [2 per cell]
Mg: 0.000 0.500 0.241 [2 per cell]
Fe: 0.000 0.000 0.362 [2 per cell]
Fe: 0.000 0.500 0.746 [2 per cell]

VASP calculation (PBE-GGA) on Ba2MgFe after structural relaxation.

Cell: 4.939 4.879 12.806 Å, 90.00 90.00 90.00°
Space group Amm2 (No. 38)
Unique sites:
Ba: 0.000 0.000 0.000 [2 per cell]
Ba: 0.500 0.000 0.283 [2 per cell]
Mg: 0.000 0.000 0.697 [2 per cell]
Fe: 0.500 0.000 0.600 [2 per cell]

| no. | ΔH_f (0 K) (eV per atom) | total moment (μB per cell) | relative energy among the computed polymorphs (meV/atom) |
| --- | --- | --- | --- |
| 1 | 0.4048 | 4.98 | 36 |
| 2 | 0.4929 | 9.87 | 124 |
| 3 | 0.4020 | 4.20 | 3 |